No. 1
Below is a crystal of MgSc2Pt relaxed with PBEsol, with properties calculated at the meta-GGA SCAN level.

Structure (POSCAR):
```
MgSc2Pt
1.0
-1.703 1.657 2.417
-0.071 -2.818 1.882
5.926 1.811 2.935
Sc Mg Pt
2 1 1
Direct
0.000 0.000 0.781
0.000 0.000 0.219
0.500 0.500 0.500
0.500 0.500 0.000
```

Properties
ΔH_f (0 K), meV per atom: -810

No. 2
Below is a crystal of CaY3Ir relaxed with PBEsol, with properties calculated at the meta-GGA SCAN level.

Structure (POSCAR):
```
CaY3Ir
1.0
-1.241 -0.044 4.872
-0.545 -4.994 -0.184
4.841 -0.573 1.228
Ir Y Ca
1 3 1
Direct
0.500 0.500 0.500
0.500 0.000 0.000
0.000 0.500 0.000
0.000 0.000 0.500
0.000 0.000 0.000
```

Properties
ΔH_f (0 K), meV per atom: 1518

No. 3
Below is a crystal of LiDyAu2 relaxed with PBEsol, with properties calculated at the meta-GGA SCAN level.

Structure (POSCAR):
```
LiDyAu2
1.0
-0.022 -2.803 -3.859
2.078 -4.290 0.157
-2.674 -3.948 -0.064
Au Dy Li
2 1 1
Direct
0.750 0.750 0.750
0.250 0.250 0.250
0.500 0.500 0.500
0.000 0.000 0.000
```

Properties
ΔH_f (0 K), meV per atom: -875

No. 4
Below is a crystal of KTcCl2 relaxed with PBEsol, with properties calculated at the meta-GGA SCAN level.

Structure (POSCAR):
```
KTcCl2
1.0
3.490 0.000 0.000
0.000 4.923 0.000
0.000 0.000 4.923
Cl K Tc
2 1 1
Direct
0.000 0.000 0.500
0.000 0.500 0.000
0.500 0.500 0.500
0.000 0.000 0.000
```

Properties
Formation energy from raw total energies, eV/atom: -0.606

No. 5
Below is a crystal of BaLaCl5 relaxed with PBEsol, with properties calculated at the meta-GGA SCAN level.

Structure (POSCAR):
```
BaLaCl5
1.0
6.937 0.125 0.000
-0.311 9.939 0.000
0.000 0.000 11.978
La Cl Ba
4 20 4
Direct
0.047 0.373 0.879
0.527 0.104 0.784
0.953 0.627 0.379
0.473 0.896 0.284
0.280 0.168 0.969
0.038 0.596 0.742
0.250 0.475 0.468
0.962 0.404 0.242
0.221 0.822 0.470
0.097 0.795 0.205
0.720 0.832 0.469
0.569 0.877 0.062
0.257 0.539 0.017
0.750 0.525 0.968
0.431 0.123 0.562
0.263 0.129 0.259
0.745 0.100 0.279
0.737 0.871 0.759
0.589 0.625 0.261
0.255 0.900 0.779
0.743 0.461 0.517
0.411 0.375 0.761
0.779 0.178 0.970
0.903 0.205 0.705
0.021 0.210 0.459
0.457 0.659 0.647
0.543 0.341 0.147
0.979 0.790 0.959
```

Properties
Formation energy from raw total energies, eV/atom: -2.705

No. 6
Below is a crystal of AlCo2Si relaxed with PBEsol, with properties calculated at the meta-GGA SCAN level.

Structure (POSCAR):
```
AlCo2Si
1.0
-1.730 1.819 0.779
-1.920 -1.291 -1.249
-1.251 -3.614 5.657
Co Al Si
2 1 1
Direct
0.000 0.000 0.016
0.500 0.500 0.248
0.500 0.500 0.780
0.000 0.000 0.456
```

Properties
Formation energy from raw total energies, eV/atom: -0.059

No. 7
Below is a crystal of Lu3Mg2CrS8 relaxed with PBEsol, with properties calculated at the meta-GGA SCAN level.

Structure (POSCAR):
```
Lu3Mg2CrS8
1.0
-1.086 -5.672 4.790
5.625 -4.770 1.380
3.382 0.148 6.696
Lu S Cr Mg
3 8 1 2
Direct
0.500 0.500 0.000
0.500 0.000 0.500
0.000 0.500 0.500
0.730 0.730 0.275
0.270 0.270 0.725
0.744 0.744 0.744
0.725 0.270 0.270
0.730 0.275 0.730
0.270 0.725 0.270
0.275 0.730 0.730
0.256 0.256 0.256
0.500 0.500 0.500
0.125 0.125 0.125
0.875 0.875 0.875
```

Properties
Formation energy from raw total energies, eV/atom: -1.917

No. 8
Below is a crystal of ScMoAu relaxed with PBEsol, with properties calculated at the meta-GGA SCAN level.

Structure (POSCAR):
```
ScMoAu
1.0
-1.337 -0.278 2.601
-1.547 -0.266 -2.483
1.297 -6.886 -0.069
Au Mo Sc
1 1 1
Direct
0.000 0.000 0.997
0.333 0.667 0.667
0.667 0.333 0.336
```

Properties
ΔH_f (0 K), meV per atom: 130

No. 9
Below is a crystal of MgTa2Se relaxed with PBEsol, with properties calculated at the meta-GGA SCAN level.

Structure (POSCAR):
```
MgTa2Se
1.0
-0.306 2.262 2.373
-2.646 -2.882 2.406
3.800 -1.715 2.125
Se Ta Mg
1 2 1
Direct
0.000 0.500 0.500
0.500 0.500 0.000
0.000 0.000 0.000
0.500 0.000 0.500
```

Properties
Formation energy from raw total energies, eV/atom: 0.209

No. 10
Below is a crystal of CrP4O12 relaxed with PBEsol, with properties calculated at the meta-GGA SCAN level.

Structure (POSCAR):
```
CrP4O12
1.0
5.072 -0.042 0.000
-1.396 7.226 0.000
0.000 0.000 13.353
O Cr P
24 2 8
Direct
0.461 0.227 0.652
0.302 0.458 0.844
0.706 0.556 0.690
0.455 0.217 0.391
0.418 0.055 0.227
0.447 0.528 0.018
0.803 0.522 0.890
0.129 0.744 0.261
0.545 0.783 0.891
0.197 0.478 0.390
0.871 0.256 0.761
0.204 0.491 0.647
0.856 0.242 0.275
0.144 0.758 0.775
0.124 0.892 0.086
0.294 0.444 0.190
0.876 0.108 0.586
0.553 0.472 0.518
0.796 0.509 0.147
0.321 0.065 0.871
0.582 0.945 0.727
0.679 0.935 0.371
0.539 0.773 0.152
0.698 0.542 0.344
0.997 0.494 0.269
0.003 0.506 0.769
0.472 0.432 0.405
0.623 0.099 0.320
0.524 0.559 0.132
0.278 0.866 0.176
0.377 0.901 0.820
0.722 0.134 0.676
0.528 0.568 0.905
0.476 0.441 0.632
```

Properties
Formation energy from raw total energies, eV/atom: -2.258

No. 11
Below is a crystal of Fe5Ir relaxed with PBEsol, with properties calculated at the meta-GGA SCAN level.

Structure (POSCAR):
```
Fe5Ir
1.0
2.515 0.000 0.000
0.000 3.953 0.000
-1.257 0.000 6.482
Fe Ir
5 1
Direct
0.218 0.500 0.437
0.666 0.000 0.332
0.005 0.000 0.010
0.327 0.000 0.655
0.561 0.500 0.121
0.889 0.500 0.778
```

Properties
ΔH_f (0 K), meV per atom: 120

No. 12
Below is a crystal of YAlHg2 relaxed with PBEsol, with properties calculated at the meta-GGA SCAN level.

Structure (POSCAR):
```
YAlHg2
1.0
-1.732 -1.781 -3.662
3.935 0.289 -2.002
-0.045 -3.340 4.319
Y Hg Al
1 2 1
Direct
0.500 0.500 0.000
0.000 0.000 0.000
0.750 0.250 0.500
0.250 0.750 0.500
```

Properties
ΔH_f (0 K), meV per atom: -312

No. 13
Below is a crystal of KLiO2 relaxed with PBEsol, with properties calculated at the meta-GGA SCAN level.

Structure (POSCAR):
```
KLiO2
1.0
3.325 0.000 0.000
1.662 2.879 0.000
1.662 0.960 6.318
O Li K
2 1 1
Direct
0.123 0.123 0.630
0.877 0.877 0.370
0.500 0.500 0.500
0.000 0.000 0.000
```

Properties
Formation energy from raw total energies, eV/atom: -0.551

No. 14
Below is a crystal of TbZrSb relaxed with PBEsol, with properties calculated at the meta-GGA SCAN level.

Structure (POSCAR):
```
TbZrSb
1.0
4.217 0.000 0.000
0.000 4.217 0.000
-2.109 -2.109 8.245
Tb Zr Sb
2 2 2
Direct
0.677 0.677 0.354
0.323 0.323 0.646
0.000 0.500 0.000
0.500 0.000 0.000
0.133 0.133 0.266
0.867 0.867 0.734
```

Properties
Formation energy from raw total energies, eV/atom: -0.891

No. 15
Below is a crystal of RbLaIN2 relaxed with PBEsol, with properties calculated at the meta-GGA SCAN level.

Structure (POSCAR):
```
RbLaIN2
1.0
-4.591 1.330 0.032
-0.337 -1.053 -4.651
-1.769 -6.142 1.519
Rb N La I
1 2 1 1
Direct
0.500 0.500 0.500
0.000 0.500 0.000
0.500 0.000 0.000
0.000 0.000 0.000
0.000 0.000 0.500
```

Properties
Formation energy from raw total energies, eV/atom: -0.144

No. 16
Below is a crystal of Li2TeBrO relaxed with PBEsol, with properties calculated at the meta-GGA SCAN level.

Structure (POSCAR):
```
Li2TeBrO
1.0
-3.327 1.759 -1.526
-2.442 -4.741 -0.140
-1.842 0.802 4.942
Li O Br Te
2 1 1 1
Direct
0.000 0.000 0.500
0.000 0.500 0.000
0.500 0.000 0.000
0.500 0.500 0.500
0.000 0.000 0.000
```

Properties
Formation energy from raw total energies, eV/atom: -0.832

No. 17
Below is a crystal of KTaSe2Cl relaxed with PBEsol, with properties calculated at the meta-GGA SCAN level.

Structure (POSCAR):
```
KTaSe2Cl
1.0
-4.034 -2.201 -1.983
-0.731 -2.598 4.369
-2.950 3.811 1.772
K Cl Se Ta
1 1 2 1
Direct
0.500 0.000 0.000
0.000 0.000 0.000
0.000 0.500 0.000
0.000 0.000 0.500
0.500 0.500 0.500
```

Properties
Formation energy from raw total energies, eV/atom: 0.967

No. 18
Below is a crystal of SiTe2 relaxed with PBEsol, with properties calculated at the meta-GGA SCAN level.

Structure (POSCAR):
```
SiTe2
1.0
-0.174 3.115 2.215
-2.636 0.238 2.762
2.873 -1.410 5.513
Te Si
2 1
Direct
0.236 0.236 0.292
0.432 0.432 0.704
0.999 0.999 0.004
```

Properties
Formation energy from raw total energies, eV/atom: 0.338

No. 19
Below is a crystal of ZrScNi4 relaxed with PBEsol, with properties calculated at the meta-GGA SCAN level.

Structure (POSCAR):
```
ZrScNi4
1.0
-4.395 1.615 -1.196
-3.905 -2.676 0.972
-3.085 1.391 3.450
Ni Zr Sc
4 1 1
Direct
0.625 0.126 0.625
0.625 0.625 0.625
0.126 0.625 0.625
0.625 0.625 0.126
0.000 0.000 0.000
0.250 0.250 0.250
```

Properties
ΔH_f (0 K), meV per atom: -502

No. 20
Below is a crystal of Sr2TaNiN relaxed with PBEsol, with properties calculated at the meta-GGA SCAN level.

Structure (POSCAR):
```
Sr2TaNiN
1.0
-3.203 1.232 -0.075
-1.751 -4.370 2.976
0.973 2.815 4.707
Ni Sr N Ta
1 2 1 1
Direct
0.500 0.000 0.000
0.000 0.500 0.000
0.000 0.000 0.500
0.000 0.000 0.000
0.500 0.500 0.500
```

Properties
Formation energy from raw total energies, eV/atom: 0.506

Record-wise total DFT energy (no corrections) values, in eV per atom: -26.721; -31.340; -48.000; -15.442; -20.212; -13.153; -21.302; -39.296; -39.346; -10.184; -26.838; -43.294; -6.346; -39.132; -23.978; -14.377; -23.642; -27.834; -18.774; -26.814
Record-wise volume values, in Å³ per atom: 19.69; 25.41; 19.17; 21.14; 29.51; 11.80; 21.67; 17.46; 17.69; 14.37; 10.74; 21.90; 15.12; 24.44; 30.02; 23.12; 26.40; 25.27; 13.30; 21.30
Record-wise magnetic moment values, in μB per cell: 0.01; 0.01; 0.00; 3.18; 0.00; 2.14; 2.98; 0.00; 0.00; 3.99; 0.50; 0.00; 2.00; 0.00; 3.00; 0.90; 3.28; 0.00; 0.00; 3.77